No. 1
# BSbPd4

A relaxed BSbPd4 crystal (PBE, the Alexandria database).

Calculated values
* N(E_F): 0.401 states/eV per atom
* E above lowest polymorph: 0.070 eV per atom
* size of the total moment: 0.000 μB/cell
* space group: No. 12
* ΔE_f (raw): -0.168 eV/atom
* raw total energy: -65.2 eV for the cell shown

Structure (extended XYZ):
```
12
Lattice="-1.0556 3.2309 -2.7196 1.7249 -5.2537 -3.4270 -7.1999 -2.7001 -0.4131" Properties=species:S:1:pos:R:3 pbc="T T T"
Pd -2.7304 -1.1536 -3.7945
Pd -5.1082 -0.6219 -2.2399
Sb -0.4829 -2.3121 -2.5593
Pd -3.8002 -3.5693 -2.7653
Pd -0.2278 -1.5204 -5.2017
Pd -1.4224 -4.1010 -4.3199
B -4.3659 -2.3845 -1.1382
Pd -4.0990 -3.1421 -5.6256
Pd -2.4316 -1.5808 -0.9342
Sb -6.0477 -2.4108 -4.0005
Pd -6.3028 -3.2024 -1.3581
B -2.1647 -2.3384 -5.4216
```

No. 2
# Tm3Th5Sc4

A relaxed Tm3Th5Sc4 crystal (PBE, the Alexandria database).

Calculated values
* energy of formation from the pure elements: 0.16 eV per atom
* N(E_F): 1.582 states/eV per atom
* size of the total moment: 0.000 μB/cell
* space group: No. 2
* raw total energy: -74.0 eV for the cell shown

Structure (extended XYZ):
```
12
Lattice="6.1329 1.1313 -0.6426 -1.0851 5.9819 -6.3490 -1.2493 -4.3239 13.8242" Properties=species:S:1:pos:R:3 pbc="T T T"
Th 3.4191 1.8277 0.8420
Sc 0.2957 1.4183 -0.7392
Sc -0.9850 4.3368 -2.4734
Sc 4.7834 -1.5476 9.3060
Th 0.3793 0.9615 5.9906
Th 2.0229 -1.8849 11.3286
Sc 3.5027 1.3709 7.5718
Tm 0.4149 1.5962 2.5653
Th 1.3566 4.3855 0.2417
Tm -0.6247 -2.1619 6.9122
Th 1.7756 4.6741 -4.4960
Tm 3.3837 1.1930 4.2674
```

No. 3
# PaMnVGe

A relaxed PaMnVGe crystal (PBE, the Alexandria database).

Calculated values
* energy of formation from the pure elements: -0.09 eV per atom
* N(E_F): 1.459 states/eV per atom
* size of the total moment: 1.446 μB/cell
* space group: No. 216
* raw total energy: -32.8 eV for the cell shown

Structure (extended XYZ):
```
4
Lattice="-4.2211 0.5346 -1.3663 -1.0094 -0.3764 -4.3370 -2.3412 -3.5186 -1.4520" Properties=species:S:1:pos:R:3 pbc="T T T"
Mn -5.6788 -2.5203 -5.3664
Ge -3.7859 -1.6802 -3.5776
V -1.8929 -0.8401 -1.7888
Pa 0.0000 0.0000 0.0000
```

No. 4
# Hf8HC3N4

A relaxed Hf8HC3N4 crystal (PBE, the Alexandria database).

Calculated values
* N(E_F): 0.229 states/eV per atom
* size of the total moment: 0.000 μB/cell
* space group: No. 166
* raw total energy: -164.9 eV for the cell shown

Structure (extended XYZ):
```
16
Lattice="-0.3345 0.8438 6.4136 0.5687 -6.4077 0.8727 4.4458 3.1975 -3.4598" Properties=species:S:1:pos:R:3 pbc="T T T"
C 2.3400 -1.1832 1.9132
Hf 4.6203 -1.0128 1.9691
Hf 2.2976 0.1891 0.0950
Hf 2.3823 -2.5555 3.7315
H 0.2843 -3.2038 0.4363
Hf 0.0597 -1.3535 1.8574
Hf -0.1035 -0.9421 4.9844
Hf 2.0639 0.6168 3.2975
Hf 4.7834 -1.4242 -1.1580
Hf 2.6160 -2.9832 0.5289
N 0.0000 0.0000 0.0000
N 2.2229 1.5988 -1.7299
C 0.1171 -2.7819 3.6431
N -0.1673 0.4219 3.2068
C 2.5073 -1.6051 -1.2936
N 2.0556 2.0206 1.4769
```

No. 5
# BaHg3Sb

A relaxed BaHg3Sb crystal (PBE, the Alexandria database).

Calculated values
* N(E_F): 0.354 states/eV per atom
* E above lowest polymorph: 0.017 eV per atom
* size of the total moment: 0.000 μB/cell
* space group: No. 11
* ΔE_f (raw): -0.406 eV/atom
* raw total energy: -18.0 eV for the cell shown

Structure (extended XYZ):
```
10
Lattice="-3.2560 0.0912 6.2965 -3.1516 -5.9242 1.7479 5.8577 -2.2129 3.0611" Properties=species:S:1:pos:R:3 pbc="T T T"
Sb -0.2556 -2.0310 7.7872
Hg 2.2850 -3.1302 6.5323
Hg -1.0095 -5.9996 9.8942
Sb -4.3266 -4.8861 5.5784
Hg 1.4498 -3.1423 3.7201
Hg -2.7761 -3.8657 3.3489
Ba -0.7254 -1.6430 1.0316
Hg -3.6180 -5.0142 8.5310
Ba -0.6007 -5.3652 6.0374
Hg -0.9642 -1.9027 4.8344
```

No. 6
# Sm2ReO8

A relaxed Sm2ReO8 crystal (PBE, the Alexandria database).

Calculated values
* N(E_F): 0.229 states/eV per atom
* size of the total moment: 0.000 μB/cell
* space group: No. 12
* ΔE_f (raw): -1.814 eV/atom
* raw total energy: -81.5 eV for the cell shown

Structure (extended XYZ):
```
11
Lattice="-3.1319 -2.0383 -0.8959 1.7431 -0.7118 -4.4739 4.0782 -4.5536 4.3438" Properties=species:S:1:pos:R:3 pbc="T T T"
O 3.6279 -4.8993 -1.5359
O 0.4574 -0.3385 -0.8286
O 3.2553 -5.4929 1.1169
O 0.9908 -4.4291 -1.6281
Sm 0.6046 -4.8410 0.6590
O 2.2320 -6.9651 -0.1973
O 1.6985 -2.8746 0.6021
O -0.9385 -2.4043 0.5099
O -0.5659 -1.8107 -2.1429
Re -1.5659 -1.0191 -0.4480
Sm 2.0848 -2.4627 -1.6850
```

No. 7
# GaSeO2

A relaxed GaSeO2 crystal (PBE, the Alexandria database).

Calculated values
* N(E_F): 0.505 states/eV per atom
* E above lowest polymorph: 0.451 eV per atom
* size of the total moment: 0.000 μB/cell
* space group: No. 122
* ΔE_f (raw): -0.617 eV/atom
* raw total energy: -37.8 eV for the cell shown

Structure (extended XYZ):
```
8
Lattice="5.2550 0.0000 0.0000 0.0000 5.2550 0.0000 2.6275 2.6275 4.2982" Properties=species:S:1:pos:R:3 pbc="T T T"
O 6.5688 6.0215 3.2237
Ga 2.6275 2.6275 0.0000
Se 5.2550 2.6275 2.1491
O 3.9413 4.4885 3.2237
Se 0.0000 0.0000 0.0000
O 3.3940 1.3138 1.0746
O 1.8610 3.9413 1.0746
Ga 2.6275 5.2550 2.1491
```

No. 8
# Tl2In2Tc

A relaxed Tl2In2Tc crystal (PBE, the Alexandria database).

Calculated values
* energy of formation from the pure elements: 0.59 eV per atom
* N(E_F): 0.915 states/eV per atom
* E above lowest polymorph: 0.000 eV per atom
* size of the total moment: 5.094 μB/cell
* space group: No. 127
* raw total energy: -35.2 eV for the cell shown

Structure (extended XYZ):
```
10
Lattice="7.3051 0.0000 0.0000 0.0000 7.3051 0.0000 0.0000 0.0000 4.9898" Properties=species:S:1:pos:R:3 pbc="T T T"
In 4.7452 1.0926 0.0000
Tl 2.3910 1.2616 2.4949
Tl 4.9141 6.0435 2.4949
Tl 6.0435 2.3910 2.4949
In 1.0926 2.5599 0.0000
Tl 1.2616 4.9141 2.4949
Tc 3.6526 3.6526 0.0000
Tc 0.0000 0.0000 0.0000
In 6.2125 4.7452 0.0000
In 2.5599 6.2125 0.0000
```

No. 9
# CsIn4Se5

A relaxed CsIn4Se5 crystal (PBE, the Alexandria database).

Calculated values
* N(E_F): 0.339 states/eV per atom
* size of the total moment: 0.000 μB/cell
* space group: No. 59
* ΔE_f (raw): -0.457 eV/atom
* raw total energy: -67.6 eV for the cell shown

Structure (extended XYZ):
```
20
Lattice="-6.8307 2.1910 -3.1821 0.6543 -5.7518 -5.3649 -5.7638 -7.4266 7.2592" Properties=species:S:1:pos:R:3 pbc="T T T"
In -6.9854 -3.4348 0.6563
Se -5.0359 -1.1557 -5.1808
In -4.0647 -5.0115 4.8772
Se -5.9020 -6.9411 3.9480
Se -2.3319 -2.3410 -0.5485
In -11.0846 -6.8132 0.1470
Cs -5.9739 1.9162 -2.7830
Se -9.2472 -4.8836 1.0763
Se -8.9346 -7.6318 -1.4870
Se -5.5604 -9.9447 1.1464
Se -1.9902 -5.3446 -3.3500
In -1.9797 -2.3251 2.2513
In -6.5762 -7.0325 -2.6994
Cs -3.4115 -6.3144 0.5480
Se -4.3496 -3.2425 2.9459
In -7.4058 -2.0731 -4.4862
Se -7.0536 -2.0572 -1.6865
Se -6.7409 -4.8053 -4.2498
In -2.4000 -0.9634 -2.8912
In -2.1550 -3.1175 -4.9004
```

No. 10
# ErIn4Pd15

A relaxed ErIn4Pd15 crystal (PBE, the Alexandria database).

Calculated values
* energy of formation from the pure elements: -0.52 eV per atom
* N(E_F): 0.904 states/eV per atom
* size of the total moment: 0.000 μB/cell
* space group: No. 123
* raw total energy: -103.9 eV for the cell shown

Structure (extended XYZ):
```
20
Lattice="4.0606 0.0000 0.0000 0.0000 4.0606 0.0000 0.0000 0.0000 20.1795" Properties=species:S:1:pos:R:3 pbc="T T T"
Pd 2.0303 0.0000 10.0898
Er 0.0000 0.0000 0.0000
Pd 0.0000 2.0303 6.0868
Pd 2.0303 0.0000 18.1035
Pd 0.0000 2.0303 14.0927
In 0.0000 0.0000 12.0944
Pd 2.0303 2.0303 8.0925
Pd 0.0000 2.0303 18.1035
Pd 2.0303 2.0303 12.0870
Pd 2.0303 2.0303 16.1103
In 0.0000 0.0000 4.0984
In 0.0000 0.0000 8.0852
Pd 2.0303 0.0000 14.0927
Pd 2.0303 2.0303 4.0692
Pd 2.0303 2.0303 0.0000
In 0.0000 0.0000 16.0811
Pd 2.0303 0.0000 2.0760
Pd 2.0303 0.0000 6.0868
Pd 0.0000 2.0303 10.0898
Pd 0.0000 2.0303 2.0760
```

No. 11
# Zr2InCl

A relaxed Zr2InCl crystal (PBE, the Alexandria database).

Calculated values
* N(E_F): 0.351 states/eV per atom
* E above lowest polymorph: 0.645 eV per atom
* size of the total moment: 0.000 μB/cell
* space group: No. 122
* ΔE_f (raw): 0.062 eV/atom
* raw total energy: -42.9 eV for the cell shown

Structure (extended XYZ):
```
8
Lattice="4.2972 0.0000 0.0000 0.0000 4.2972 0.0000 2.1486 2.1486 10.3668" Properties=species:S:1:pos:R:3 pbc="T T T"
Zr 1.0656 3.2229 2.5917
Cl 2.1486 2.1486 0.0000
Zr 3.2316 1.0743 2.5917
Cl 2.1486 4.2972 5.1834
Zr 3.2229 3.2142 7.7751
In 0.0000 0.0000 0.0000
Zr 5.3714 5.3801 7.7751
In 4.2972 2.1486 5.1834
```

No. 12
# Cs2NiI4Br2

A relaxed Cs2NiI4Br2 crystal (PBE, the Alexandria database).

Calculated values
* N(E_F): 0.404 states/eV per atom
* size of the total moment: 0.000 μB/cell
* space group: No. 139
* ΔE_f (raw): -0.792 eV/atom
* raw total energy: -24.2 eV for the cell shown

Structure (extended XYZ):
```
9
Lattice="-1.1957 -1.4334 7.9362 7.3648 0.9205 -3.3736 -1.5433 7.1555 -3.5897" Properties=species:S:1:pos:R:3 pbc="T T T"
I 3.7841 5.3643 -1.2132
I 0.6427 5.6255 -3.5366
I 0.8417 1.2783 2.1862
Cs 4.5399 1.7625 0.5405
Br 1.1599 1.6091 -1.3874
Br 4.6616 6.4669 -5.5759
I 5.1788 2.4505 -3.4266
Ni 0.0000 0.0000 0.0000
Cs 0.0859 4.8801 0.4325
```